Compound: Ba2Na3USe6
Source: the Alexandria database
Functional: PBE-GGA
Structure: relaxed

a = 7.8409 Å, b = 13.7089 Å, c = 7.3923 Å
α = 90.00°, β = 110.54°, γ = 90.00°
Space group C2/m (No. 12)
One atom of each set of equivalent atoms:
Ba 0.0000 0.1689 0.0000 [4 per cell]
Na 0.0000 0.0000 0.5000 [2 per cell]
Na 0.0000 0.3475 0.5000 [4 per cell]
U 0.0000 0.5000 0.0000 [2 per cell]
Se 0.2173 0.5000 0.7733 [4 per cell]
Se 0.2229 0.3564 0.2410 [8 per cell]

Calculated values
Crystal system: monoclinic
Density of states at the Fermi level: 0.095 states/eV/f.u.
Magnetization: 1.00 μB per formula unit
VASP energy: -114.93 eV for the cell shown
Theoretical density: 4.7 g/cm3